(1)
A relaxed MgMn2GeF crystal, computed with PBE with a Hubbard U.

## Properties
Calculated density (g/cm3): 3.9
DFT total energy (eV/atom): -4.722
Space-group type: P4/mmm
M_tot (μB/atom): 1.8061

```
MgMn2GeF
1.0
4.3199 0.0000 0.0000
0.0000 5.2063 0.0000
0.0000 0.0000 4.3199
Ge Mn Mg F
1 2 1 1
direct
0.0000 0.5000 0.0000 Ge
0.0000 0.0000 0.5000 Mn
0.5000 0.0000 0.0000 Mn
0.5000 0.5000 0.5000 Mg
0.0000 0.0000 0.0000 F
```

(2)
A relaxed Mg2GeMoF crystal, computed with PBE with a Hubbard U.

## Properties
Calculated density (g/cm3): 2.7
DFT total energy (eV/atom): -2.914
Space-group type: P4/mmm
M_tot (μB/atom): 0.6067

```
Mg2GeMoF
1.0
-2.0537 4.7712 1.9186
0.4103 -1.6393 4.5158
5.1209 2.0867 0.2923
Mg Mo Ge F
2 1 1 1
direct
0.0000 0.0000 0.5000 Mg
0.5000 0.0000 0.0000 Mg
0.0000 0.0000 0.0000 Mo
0.0000 0.5000 0.0000 Ge
0.5000 0.5000 0.5000 F
```

Copy entry 1 word for word.
A relaxed MgMn2GeF crystal, computed with PBE with a Hubbard U.

## Properties
Calculated density (g/cm3): 3.9
DFT total energy (eV/atom): -4.722
Space-group type: P4/mmm
M_tot (μB/atom): 1.8061

```
MgMn2GeF
1.0
4.3199 0.0000 0.0000
0.0000 5.2063 0.0000
0.0000 0.0000 4.3199
Ge Mn Mg F
1 2 1 1
direct
0.0000 0.5000 0.0000 Ge
0.0000 0.0000 0.5000 Mn
0.5000 0.0000 0.0000 Mn
0.5000 0.5000 0.5000 Mg
0.0000 0.0000 0.0000 F
```